Entry 1:
Material: TlV2I8
Method: DFT, PBE
State: relaxed

Calculated values
Volume in A^3/atom: 52.2
Formation energy from raw total energies in eV/atom: -0.42
Space-group type: C2/m
Mass density in g/cm³: 3.82

The structure in extended XYZ format:
```
11
Lattice="6.0330 -4.4896 0.0000 6.0330 4.4896 0.0000 -1.4141 0.0000 10.6004" Properties=species:S:1:pos:R:3 pbc="T T T"
Tl 0.0000 0.0000 0.0000
V 1.0140 0.0000 7.7156
V 9.6379 0.0000 2.8848
I 5.1314 2.4381 2.8611
I 5.5205 2.4381 7.7393
I 2.5304 0.0000 5.7037
I 2.2461 0.0000 9.9646
I 8.4057 0.0000 0.6357
I 8.1214 0.0000 4.8967
I 5.1314 -2.4381 2.8611
I 5.5205 -2.4381 7.7393
```

***

Entry 2:
Material: ZnHgPt
Method: DFT, PBE
State: relaxed

Calculated values
Volume in A^3/atom: 17.7
Offset from the most stable computed form in meV per atom: 103
Space-group type: P3m1
Formation enthalpy at 0 K in meV/atom: -48
Mass density in g/cm³: 14.38

The structure in extended XYZ format:
```
3
Lattice="3.0327 0.0000 0.0000 -1.5163 2.6264 0.0000 0.0000 0.0000 6.6827" Properties=species:S:1:pos:R:3 pbc="T T T"
Zn 0.0000 0.0000 0.0000
Hg 1.5163 0.8755 2.3867
Pt 0.0000 1.7509 4.7758
```

***

Entry 3:
Material: TaSi2Os
Method: DFT, PBE
State: relaxed

Calculated values
Volume in A^3/atom: 14.7
Formation energy from raw total energies in eV/atom: -0.09
Space-group type: R-3m
Mass density in g/cm³: 12.04

The structure in extended XYZ format:
```
4
Lattice="1.4365 0.8294 8.2467 -1.4365 0.8294 8.2467 0.0000 -1.6587 8.2467" Properties=species:S:1:pos:R:3 pbc="T T T"
Ta 0.0000 0.0000 0.0000
Si 0.0000 0.0000 6.0275
Si 0.0000 0.0000 18.7125
Os 0.0000 0.0000 12.3700
```

***

Entry 4:
Material: RbThP2
Method: DFT, PBE
State: relaxed

Calculated values
Volume in A^3/atom: 32.0
Space-group type: R-3m
Formation enthalpy at 0 K in meV/atom: -735
Mass density in g/cm³: 4.92

The structure in extended XYZ format:
```
4
Lattice="2.1708 1.2533 7.8531 -2.1708 1.2533 7.8531 0.0000 -2.5066 7.8531" Properties=species:S:1:pos:R:3 pbc="T T T"
Rb 0.0000 0.0000 0.0000
Th 0.0000 0.0000 11.7796
P 0.0000 0.0000 5.3655
P 0.0000 0.0000 18.1937
```

***

Entry 5:
Material: Zr2ScV
Method: DFT, PBE
State: relaxed

Calculated values
Volume in A^3/atom: 20.8
Offset from the most stable computed form in meV per atom: 0
Space-group type: P4/mmm
Formation enthalpy at 0 K in meV/atom: 141
Mass density in g/cm³: 5.54

The structure in extended XYZ format:
```
4
Lattice="3.3461 0.0000 0.0000 0.0000 3.3461 0.0000 0.0000 0.0000 7.4475" Properties=species:S:1:pos:R:3 pbc="T T T"
Zr 0.0000 0.0000 1.5770
Zr 0.0000 0.0000 5.8704
Sc 1.6731 1.6731 3.7237
V 1.6731 1.6731 0.0000
```

***

Entry 6:
Material: YZrCl2
Method: DFT, PBE
State: relaxed

Calculated values
Volume in A^3/atom: 22.9
Formation energy from raw total energies in eV/atom: -0.90
Offset from the most stable computed form in meV per atom: 429
Space-group type: Immm
Mass density in g/cm³: 4.56

The structure in extended XYZ format:
```
4
Lattice="-1.6039 3.1208 4.5657 1.6039 -3.1208 4.5657 1.6039 3.1208 -4.5657" Properties=species:S:1:pos:R:3 pbc="T T T"
Y 0.0000 0.0000 0.0000
Zr 0.0000 0.0000 4.5657
Cl 1.6039 0.0000 2.3898
Cl 0.0000 3.1208 2.1759
```

***

Entry 7:
Material: LiCaGa
Method: DFT, PBE
State: relaxed

Calculated values
Volume in A^3/atom: 22.8
Offset from the most stable computed form in meV per atom: 59
Space-group type: I4mm
Formation enthalpy at 0 K in meV/atom: -256
Mass density in g/cm³: 2.83

The structure in extended XYZ format:
```
3
Lattice="-1.8275 1.8275 5.1304 1.8275 -1.8275 5.1304 1.8275 1.8275 -5.1304" Properties=species:S:1:pos:R:3 pbc="T T T"
Li 0.0000 0.0000 0.0000
Ca 0.0000 0.0000 7.2262
Ga 0.0000 0.0000 3.9633
```

***

Entry 8:
Material: Li5In6Pb
Method: DFT, PBE
State: relaxed

Calculated values
Volume in A^3/atom: 22.1
Space-group type: P2/m
Formation enthalpy at 0 K in meV/atom: -206
Mass density in g/cm³: 5.83

The structure in extended XYZ format:
```
12
Lattice="4.4674 0.0000 0.0000 0.0000 8.8007 0.0000 -2.1884 0.0000 6.7404" Properties=species:S:1:pos:R:3 pbc="T T T"
Li 0.0000 0.0000 0.0000
Li 0.0255 4.4004 4.4976
Li 0.0280 0.0000 4.5120
Li 2.2510 0.0000 2.2285
Li 2.2536 4.4004 2.2429
In 0.0229 2.0903 2.3095
In 0.0229 6.7105 2.3095
In 2.2337 1.9783 0.0000
In 2.2337 6.8224 0.0000
In 2.2561 2.0903 4.4309
In 2.2561 6.7105 4.4309
Pb 0.0000 4.4004 0.0000
```